Compound: NaMgBi2S4
Source: Alexandria via LeMat-Bulk
Functional: PBE-GGA
Structure: optimized geometry

Computed properties:
* E_tot: -4.059 eV per atom
* formation energy from raw total energies: -661.1 meV/atom

abc: 5.774 5.774 11.114
angles: 90.00 90.00 90.00
Atoms (fractional coordinates):
Na1 0.000 0.000 0.000
Na2 0.500 0.500 0.500
Mg1 0.000 0.500 0.750
Mg2 0.500 0.000 0.250
Bi1 0.000 0.000 0.500
Bi2 0.000 0.500 0.250
Bi3 0.500 0.000 0.750
Bi4 0.500 0.500 0.000
S1 0.000 0.000 0.252
S2 0.000 0.000 0.748
S3 0.000 0.500 0.511
S4 0.000 0.500 0.989
S5 0.500 0.000 0.011
S6 0.500 0.000 0.489
S7 0.500 0.500 0.248
S8 0.500 0.500 0.752